CaYCl2, relaxed, DFT GGA-PBE; space group = No. 47; N(E_F) = 0.77 states/eV per atom; energy relative to the elements, uncorrected = -1.273 eV/atom; crystal system = orthorhombic
1.0
3.510 0.000 0.000
0.000 4.510 0.000
0.000 0.000 6.885
Ca Y Cl
1 1 2
direct
0.000 0.000 0.000
0.500 0.000 0.500
0.000 0.500 0.500
0.500 0.500 0.000